[1]
Computed, not measured: crystalline Sr2TlOsO6 at its relaxed geometry at the PBE level of DFT.

Geometry as CIF:
```
data_Sr2TlOsO6
_cell_length_a 6.0445
_cell_length_b 6.0446
_cell_length_c 6.4745
_cell_angle_alpha 62.17
_cell_angle_beta 62.17
_cell_angle_gamma 60.00
_symmetry_space_group_name_H-M 'P 1'
_symmetry_Int_Tables_number 1
_symmetry_space_group_name_Hall 'P 1'
loop_
_atom_site_label
_atom_site_type_symbol
_atom_site_fract_x
_atom_site_fract_y
_atom_site_fract_z
O1 O 0.5327 0.2665 0.1993
O2 O 0.6614 0.1573 0.7923
O3 O 0.2665 0.0015 0.1992
O4 O 0.0014 0.5329 0.1992
O5 O 0.3891 0.6614 0.7922
O6 O 0.1572 0.3890 0.7923
Os1 Os 0.3269 0.3269 0.0192
Tl1 Tl 0.7870 0.7869 0.6393
Sr1 Sr 0.0114 0.0114 0.9659
Sr2 Sr 0.5279 0.5279 0.4163
```

Output
* energy relative to the elements, uncorrected: -1.741 eV/atom



[2]
Computed, not measured: crystalline Sr2TlOsO8 at its relaxed geometry at the PBE level of DFT.

Geometry as CIF:
```
data_Sr2TlOsO8
_cell_length_a 4.6293
_cell_length_b 5.2777
_cell_length_c 7.7561
_cell_angle_alpha 88.10
_cell_angle_beta 87.60
_cell_angle_gamma 92.75
_symmetry_space_group_name_H-M 'P 1'
_symmetry_Int_Tables_number 1
_symmetry_space_group_name_Hall 'P 1'
loop_
_atom_site_label
_atom_site_type_symbol
_atom_site_fract_x
_atom_site_fract_y
_atom_site_fract_z
O1 O 0.5932 0.8879 0.9915
O2 O 0.4068 0.1121 0.0085
O3 O 0.6770 0.7352 0.5029
O4 O 0.9070 0.1829 0.1944
O5 O 0.0930 0.8171 0.8056
O6 O 0.0715 0.7233 0.1483
O7 O 0.9285 0.2767 0.8517
O8 O 0.3230 0.2648 0.4971
Os1 Os 0.0000 0.0000 0.0000
Sr1 Sr 0.4585 0.4880 0.7520
Sr2 Sr 0.5415 0.5120 0.2480
Tl1 Tl 0.0000 0.0000 0.5000
```

Output
* energy relative to the elements, uncorrected: -1.416 eV/atom



[3]
Computed, not measured: crystalline SrTmOsO6 at its relaxed geometry at the PBE level of DFT.

Geometry as CIF:
```
data_SrTmOsO6
_cell_length_a 5.5203
_cell_length_b 5.5203
_cell_length_c 10.4729
_cell_angle_alpha 90.00
_cell_angle_beta 90.00
_cell_angle_gamma 120.00
_symmetry_space_group_name_H-M 'P 1'
_symmetry_Int_Tables_number 1
_symmetry_space_group_name_Hall 'P 1'
loop_
_atom_site_label
_atom_site_type_symbol
_atom_site_fract_x
_atom_site_fract_y
_atom_site_fract_z
O1 O 0.9589 0.3480 0.1465
O2 O 0.3891 0.3480 0.3535
O3 O 0.0411 0.6520 0.8535
O4 O 0.3480 0.9589 0.6465
O5 O 0.0411 0.3891 0.6465
O6 O 0.6109 0.6520 0.6465
O7 O 0.9589 0.6109 0.3535
O8 O 0.3480 0.3891 0.8535
O9 O 0.6109 0.9589 0.8535
O10 O 0.6520 0.6109 0.1465
O11 O 0.6520 0.0411 0.3535
O12 O 0.3891 0.0411 0.1465
Tm1 Tm 0.3333 0.6667 0.2500
Tm2 Tm 0.6667 0.3333 0.7500
Sr1 Sr 0.0000 0.0000 0.5000
Sr2 Sr 0.0000 0.0000 0.0000
Os1 Os 0.3333 0.6667 0.7500
Os2 Os 0.6667 0.3333 0.2500
```

Output
* energy relative to the elements, uncorrected: -2.173 eV/atom



[4]
Computed, not measured: crystalline SrTm2OsO8 at its relaxed geometry at the PBE level of DFT.

Geometry as CIF:
```
data_SrTm2OsO8
_cell_length_a 5.0484
_cell_length_b 5.0398
_cell_length_c 6.9365
_cell_angle_alpha 90.00
_cell_angle_beta 90.00
_cell_angle_gamma 88.44
_symmetry_space_group_name_H-M 'P 1'
_symmetry_Int_Tables_number 1
_symmetry_space_group_name_Hall 'P 1'
loop_
_atom_site_label
_atom_site_type_symbol
_atom_site_fract_x
_atom_site_fract_y
_atom_site_fract_z
O1 O 0.1877 0.8115 0.8094
O2 O 0.2631 0.2628 0.0000
O3 O 0.7369 0.7372 0.0000
O4 O 0.8123 0.1885 0.8094
O5 O 0.3228 0.3230 0.5000
O6 O 0.8123 0.1885 0.1906
O7 O 0.6772 0.6770 0.5000
O8 O 0.1877 0.8115 0.1906
Sr1 Sr 0.0000 0.0000 0.5000
Tm1 Tm 0.5000 0.5000 0.2597
Tm2 Tm 0.5000 0.5000 0.7403
Os1 Os 0.0000 0.0000 0.0000
```

Output
* energy relative to the elements, uncorrected: -2.319 eV/atom



[5]
Computed, not measured: crystalline Sr2UOsO8 at its relaxed geometry at the PBE level of DFT.

Geometry as CIF:
```
data_Sr2UOsO8
_cell_length_a 5.3284
_cell_length_b 5.3293
_cell_length_c 6.7021
_cell_angle_alpha 89.98
_cell_angle_beta 90.02
_cell_angle_gamma 91.50
_symmetry_space_group_name_H-M 'P 1'
_symmetry_Int_Tables_number 1
_symmetry_space_group_name_Hall 'P 1'
loop_
_atom_site_label
_atom_site_type_symbol
_atom_site_fract_x
_atom_site_fract_y
_atom_site_fract_z
O1 O 0.7583 0.7592 0.0000
O2 O 0.8277 0.1730 0.7632
O3 O 0.1723 0.8269 0.7634
O4 O 0.1723 0.8270 0.2368
O5 O 0.2666 0.2656 0.5000
O6 O 0.2417 0.2408 0.0000
O7 O 0.8277 0.1731 0.2366
O8 O 0.7334 0.7344 0.5000
Sr1 Sr 0.4999 0.5000 0.2447
Sr2 Sr 0.5001 0.5000 0.7553
U1 U 0.0000 0.0000 0.5000
Os1 Os 0.0000 0.0000 0.0000
```

Output
* energy relative to the elements, uncorrected: -2.348 eV/atom



- What is the energy relative to the elements, uncorrected in the second record?
  -1.416 eV/atom